1.
Material: Ca2ZnHgBr
Method: DFT, PBE
State: optimized geometry

Cell lengths 5.522, 5.522, 6.059 Å; angles 90.00, 90.00, 90.00 degrees
Positions (direct):
Ca  0.000  0.500  0.000
Ca  0.500  0.000  0.000
Zn  0.000  0.000  0.500
Hg  0.500  0.500  0.500
Br  0.500  0.500  0.000

Values from the calculation:
SG = P4/mmm (123)
energy relative to the elements, uncorrected = -0.12 eV/atom

***

2.
Material: Ac6Co3Sb
Method: DFT, PBE
State: optimized geometry

Cell lengths 12.656, 4.299, 13.352 Å; angles 90.00, 114.67, 90.00 degrees
Positions (direct):
Ac  0.029  0.250  0.309
Ac  0.153  0.750  0.116
Ac  0.225  0.250  0.644
Ac  0.340  0.750  0.432
Ac  0.355  0.750  0.931
Ac  0.457  0.250  0.234
Ac  0.543  0.750  0.766
Ac  0.645  0.250  0.069
Ac  0.660  0.250  0.568
Ac  0.775  0.750  0.356
Ac  0.847  0.250  0.884
Ac  0.971  0.750  0.691
Co  0.032  0.750  0.497
Co  0.253  0.250  0.288
Co  0.457  0.250  0.843
Co  0.543  0.750  0.157
Co  0.747  0.750  0.712
Co  0.968  0.250  0.503
Sb  0.127  0.250  0.903
Sb  0.873  0.750  0.097

Values from the calculation:
SG = P2_1/m (11)
energy relative to the elements, uncorrected = -0.22 eV/atom

***

3.
Material: LaSmOsAu
Method: DFT, PBE
State: optimized geometry

Cell lengths 5.114, 5.114, 5.114 Å; angles 60.00, 60.00, 60.00 degrees
Positions (direct):
La  0.000  0.000  0.000
Sm  0.500  0.500  0.500
Os  0.250  0.250  0.250
Au  0.750  0.750  0.750

Values from the calculation:
SG = F-43m (216)
energy relative to the elements = -1.32 eV/f.u.

***

4.
Material: KVNiBr6
Method: DFT, PBE
State: optimized geometry

Cell lengths 6.656, 6.656, 7.403 Å; angles 90.03, 90.03, 120.04 degrees
Positions (direct):
K  0.000  0.000  0.000
V  0.333  0.667  0.500
Ni  0.667  0.333  0.500
Br  0.000  0.371  0.304
Br  0.001  0.629  0.696
Br  0.371  0.371  0.696
Br  0.371  0.999  0.304
Br  0.629  0.000  0.696
Br  0.629  0.629  0.304

Values from the calculation:
SG = C2 (5)
energy relative to the elements, uncorrected = -0.86 eV/atom

***

5.
Material: K2AlMo
Method: DFT, PBE
State: optimized geometry

Cell lengths 10.581, 10.581, 10.581 Å; angles 160.50, 159.48, 28.46 degrees
Positions (direct):
K  0.149  0.149  0.000
K  0.851  0.851  0.000
Al  0.000  0.500  0.500
Mo  0.500  0.000  0.500

Values from the calculation:
SG = Immm (71)
energy relative to the elements = 2.38 eV/f.u.

***

6.
Material: PrPu2H8
Method: DFT, PBE
State: optimized geometry

Cell lengths 6.564, 6.564, 6.564 Å; angles 146.26, 133.27, 58.86 degrees
Positions (direct):
Pr  0.000  0.000  0.000
Pu  0.319  0.319  0.000
Pu  0.681  0.681  0.000
H  0.112  0.840  0.272
H  0.170  0.670  0.500
H  0.285  0.500  0.785
H  0.432  0.160  0.272
H  0.568  0.840  0.728
H  0.715  0.500  0.215
H  0.830  0.330  0.500
H  0.888  0.160  0.728

Values from the calculation:
SG = Immm (71)

***

7.
Material: GdTiAs2
Method: DFT, PBE
State: optimized geometry

Cell lengths 6.795, 6.795, 6.795 Å; angles 33.32, 33.32, 33.32 degrees
Positions (direct):
Gd  0.000  0.000  0.000
Ti  0.500  0.500  0.500
As  0.240  0.240  0.240
As  0.760  0.760  0.760

Values from the calculation:
SG = R-3m (166)
energy relative to the elements = -4.63 eV/f.u.

***

8.
Material: Mg3Si4
Method: DFT, PBE
State: optimized geometry

Cell lengths 7.976, 4.324, 8.240 Å; angles 90.00, 112.18, 90.00 degrees
Positions (direct):
Mg  0.000  0.000  0.000
Mg  0.002  0.500  0.657
Mg  0.082  0.500  0.294
Mg  0.382  0.000  0.354
Mg  0.407  0.500  0.655
Mg  0.767  0.000  0.350
Si  0.145  0.000  0.536
Si  0.248  0.500  0.025
Si  0.282  0.000  0.860
Si  0.530  0.500  0.273
Si  0.605  0.000  0.945
Si  0.679  0.000  0.678
Si  0.726  0.500  0.095
Si  0.771  0.500  0.821

Values from the calculation:
SG = Pm (6)
excess energy over the best structure of this formula in the dataset = 65 meV per atom
energy relative to the elements, uncorrected = 0.12 eV/atom

***

no.,final energy (eV/f.u.)
1,-7.85
2,-52.34
3,-25.48
4,-33.75
5,-14.39
6,-65.33
7,-35.90
8,-25.66